Below is a relaxed CsCdW2N crystal, with properties calculated at the PBE-GGA level.

a = 4.1573 Å, b = 4.1573 Å, c = 6.7324 Å
α = 90.00°, β = 90.00°, γ = 90.00°
Fractional coordinates of all 5 atoms:
Cs 0.0000 0.0000 0.0000
Cd 0.5000 0.5000 0.0000
W 0.0000 0.5000 0.5000
W 0.5000 0.0000 0.5000
N 0.5000 0.5000 0.5000

Calculated values
raw formation energy: 1.24 eV/atom
density of states at the Fermi level: 4.50 states/eV/f.u.

Below is a relaxed Zn2InPd4 crystal, with properties calculated at the PBE-GGA level.

a = 5.3589 Å, b = 5.3589 Å, c = 5.3589 Å
α = 107.44°, β = 107.44°, γ = 113.61°
Fractional coordinates of all 7 atoms:
Zn 0.0000 0.5000 0.5000
Zn 0.5000 0.0000 0.5000
In 0.0000 0.0000 0.0000
Pd 0.0000 0.0000 0.5000
Pd 0.0000 0.5000 0.0000
Pd 0.5000 0.0000 0.0000
Pd 0.5000 0.5000 0.5000

Calculated values
energy of formation from the pure elements: -248 kJ/mol of formula units
density of states at the Fermi level: 4.32 states/eV/f.u.

Below is a relaxed TaVZn2 crystal, with properties calculated at the PBE-GGA level.

a = 2.7664 Å, b = 2.7664 Å, c = 7.8432 Å
α = 90.00°, β = 90.00°, γ = 90.00°
Fractional coordinates of all 4 atoms:
Ta 0.0000 0.0000 0.0000
V 0.0000 0.0000 0.5000
Zn 0.5000 0.5000 0.2621
Zn 0.5000 0.5000 0.7379

Calculated values
energy of formation from the pure elements: 17 kJ/mol of formula units
density of states at the Fermi level: 2.56 states/eV/f.u.
energy relative to the lowest polymorph listed for this composition: 0.00 eV/f.u.

Below is a relaxed Rb2ThPbS4 crystal, with properties calculated at the PBE-GGA level.

a = 7.4746 Å, b = 4.2932 Å, c = 8.0355 Å
α = 90.00°, β = 107.62°, γ = 90.00°
Fractional coordinates of all 8 atoms:
Rb 0.0000 0.0000 0.0000
Rb 0.5000 0.5000 0.0000
Th 0.0000 0.5000 0.5000
Pb 0.5000 0.0000 0.5000
S 0.2145 0.0000 0.6964
S 0.2422 0.5000 0.2995
S 0.7578 0.5000 0.7005
S 0.7855 0.0000 0.3036

Calculated values
raw formation energy: -1.40 eV/atom
density of states at the Fermi level: 0.00 states/eV/f.u.

Below is a relaxed Pr3Cd2Au7 crystal, with properties calculated at the PBE-GGA level.

a = 15.0848 Å, b = 15.0848 Å, c = 3.9809 Å
α = 90.00°, β = 90.00°, γ = 161.75°
Fractional coordinates of all 12 atoms:
Pr 0.0000 0.0000 0.0000
Pr 0.1887 0.8113 0.0000
Pr 0.8113 0.1887 0.0000
Cd 0.3655 0.6345 0.5000
Cd 0.6345 0.3655 0.5000
Au 0.0855 0.9145 0.5000
Au 0.2740 0.7260 0.5000
Au 0.4307 0.5693 0.0000
Au 0.5000 0.5000 0.5000
Au 0.5693 0.4307 0.0000
Au 0.7260 0.2740 0.5000
Au 0.9145 0.0855 0.5000

Calculated values
energy of formation from the pure elements: -588 kJ/mol of formula units
density of states at the Fermi level: 5.81 states/eV/f.u.

Below is a relaxed TlBi6Pb12 crystal, with properties calculated at the PBE-GGA level.

a = 9.3256 Å, b = 9.3256 Å, c = 9.3256 Å
α = 107.48°, β = 107.48°, γ = 107.48°
Fractional coordinates of all 19 atoms:
Tl 0.0000 0.0000 0.0000
Bi 0.2895 0.6985 0.6985
Bi 0.3015 0.3015 0.7105
Bi 0.3015 0.7105 0.3015
Bi 0.6985 0.2895 0.6985
Bi 0.6985 0.6985 0.2895
Bi 0.7105 0.3015 0.3015
Pb 0.1128 0.3491 0.3491
Pb 0.1159 0.5000 0.8841
Pb 0.1159 0.8841 0.5000
Pb 0.3491 0.1128 0.3491
Pb 0.3491 0.3491 0.1128
Pb 0.5000 0.1159 0.8841
Pb 0.5000 0.8841 0.1159
Pb 0.6509 0.6509 0.8872
Pb 0.6509 0.8872 0.6509
Pb 0.8841 0.1159 0.5000
Pb 0.8841 0.5000 0.1159
Pb 0.8872 0.6509 0.6509

Calculated values
energy of formation from the pure elements: 173 kJ/mol of formula units
density of states at the Fermi level: 9.40 states/eV/f.u.
energy relative to the lowest polymorph listed for this composition: 0.56 eV/f.u.

Below is a relaxed La2PrCu crystal, with properties calculated at the PBE-GGA level.

a = 11.4242 Å, b = 11.4242 Å, c = 11.4242 Å
α = 18.27°, β = 18.27°, γ = 18.27°
Fractional coordinates of all 4 atoms:
La 0.1039 0.1039 0.1039
La 0.8961 0.8961 0.8961
Pr 0.0000 0.0000 0.0000
Cu 0.5000 0.5000 0.5000

Calculated values
energy of formation from the pure elements: 78 kJ/mol of formula units
density of states at the Fermi level: 7.66 states/eV/f.u.
energy relative to the lowest polymorph listed for this composition: 1.06 eV/f.u.

Below is a relaxed AcSiGe2 crystal, with properties calculated at the PBE-GGA level.

a = 6.1065 Å, b = 6.1065 Å, c = 9.0208 Å
α = 90.00°, β = 90.00°, γ = 120.00°
Fractional coordinates of all 12 atoms:
Ac 0.0000 0.5000 0.3333
Ac 0.5000 0.0000 0.0000
Ac 0.5000 0.5000 0.6667
Si 0.9998 0.4997 0.8333
Si 0.5001 0.9998 0.5000
Si 0.4997 0.4999 0.1667
Ge 0.1311 0.2621 0.0000
Ge 0.1311 0.8689 0.6667
Ge 0.2621 0.1311 0.3333
Ge 0.7379 0.8689 0.3333
Ge 0.8689 0.1311 0.6667
Ge 0.8689 0.7379 0.0000

Calculated values
raw formation energy: -0.33 eV/atom
density of states at the Fermi level: 1.71 states/eV/f.u.
energy relative to the lowest polymorph listed for this composition: 0.00 eV/f.u.

Below is a relaxed CaNdZnHg crystal, with properties calculated at the PBE-GGA level.

a = 5.2995 Å, b = 5.2995 Å, c = 5.2995 Å
α = 60.00°, β = 60.00°, γ = 60.00°
Fractional coordinates of all 4 atoms:
Ca 0.0000 0.0000 0.0000
Nd 0.5000 0.5000 0.5000
Zn 0.7500 0.7500 0.7500
Hg 0.2500 0.2500 0.2500

Calculated values
energy of formation from the pure elements: -160 kJ/mol of formula units
density of states at the Fermi level: 3.24 states/eV/f.u.
energy relative to the lowest polymorph listed for this composition: 0.00 eV/f.u.

Below is a relaxed KPrAuO2 crystal, with properties calculated at the PBE-GGA level.

a = 6.5763 Å, b = 5.5578 Å, c = 7.1028 Å
α = 90.00°, β = 99.15°, γ = 90.00°
Fractional coordinates of all 10 atoms:
K 0.0000 0.1259 0.2500
K 0.0000 0.8741 0.7500
Pr 0.5000 0.4892 0.7500
Pr 0.5000 0.5108 0.2500
Au 0.5000 0.0000 0.0000
Au 0.5000 0.0000 0.5000
O 0.3062 0.3439 0.4664
O 0.3062 0.6561 0.9664
O 0.6938 0.3439 0.0336
O 0.6938 0.6561 0.5336

Calculated values
raw formation energy: -1.54 eV/atom
density of states at the Fermi level: 2.85 states/eV/f.u.

Below is a relaxed HoNb4Ge2 crystal, with properties calculated at the PBE-GGA level.

a = 8.7963 Å, b = 8.7963 Å, c = 4.2504 Å
α = 90.00°, β = 90.00°, γ = 155.79°
Fractional coordinates of all 7 atoms:
Ho 0.0000 0.0000 0.0000
Nb 0.1816 0.8184 0.5000
Nb 0.3241 0.6759 0.0000
Nb 0.6759 0.3241 0.0000
Nb 0.8184 0.1816 0.5000
Ge 0.4283 0.5717 0.5000
Ge 0.5717 0.4283 0.5000

Calculated values
energy of formation from the pure elements: -251 kJ/mol of formula units
density of states at the Fermi level: 7.12 states/eV/f.u.

Below is a relaxed YBe2TlSn crystal, with properties calculated at the PBE-GGA level.

a = 4.5640 Å, b = 4.5640 Å, c = 5.9853 Å
α = 90.00°, β = 90.00°, γ = 90.00°
Fractional coordinates of all 5 atoms:
Y 0.0000 0.0000 0.0000
Be 0.0000 0.5000 0.5000
Be 0.5000 0.0000 0.5000
Tl 0.5000 0.5000 0.0000
Sn 0.5000 0.5000 0.5000

Calculated values
energy of formation from the pure elements: 350 kJ/mol of formula units
density of states at the Fermi level: 4.50 states/eV/f.u.

Below is a relaxed LiCrGa2Ag crystal, with properties calculated at the PBE-GGA level.

a = 4.8860 Å, b = 4.8860 Å, c = 5.1977 Å
α = 90.00°, β = 90.00°, γ = 90.00°
Fractional coordinates of all 5 atoms:
Li 0.0000 0.0000 0.0000
Cr 0.5000 0.5000 0.0000
Ga 0.0000 0.5000 0.5000
Ga 0.5000 0.0000 0.5000
Ag 0.5000 0.5000 0.5000

Calculated values
energy of formation from the pure elements: 290 kJ/mol of formula units
density of states at the Fermi level: 2.24 states/eV/f.u.

Below is a relaxed MnH8Rh6 crystal, with properties calculated at the PBE-GGA level.

a = 5.0575 Å, b = 5.0575 Å, c = 5.0575 Å
α = 99.62°, β = 99.62°, γ = 99.62°
Fractional coordinates of all 15 atoms:
Mn 0.0000 0.0000 0.0000
H 0.1423 0.6206 0.7872
H 0.2128 0.8577 0.3794
H 0.2871 0.2871 0.2871
H 0.3794 0.2128 0.8577
H 0.6206 0.7872 0.1423
H 0.7129 0.7129 0.7129
H 0.7872 0.1423 0.6206
H 0.8577 0.3794 0.2128
Rh 0.1365 0.2835 0.5817
Rh 0.2835 0.5817 0.1365
Rh 0.4183 0.8635 0.7165
Rh 0.5817 0.1365 0.2835
Rh 0.7165 0.4183 0.8635
Rh 0.8635 0.7165 0.4183

Calculated values
calculated total energy: -80.1 eV/f.u.
density of states at the Fermi level: 12.07 states/eV/f.u.

Below is a relaxed Y2BePd crystal, with properties calculated at the PBE-GGA level.

a = 3.4903 Å, b = 3.4903 Å, c = 6.8680 Å
α = 90.00°, β = 90.00°, γ = 90.00°
Fractional coordinates of all 4 atoms:
Y 0.0000 0.0000 0.2430
Y 0.0000 0.0000 0.7570
Be 0.5000 0.5000 0.0000
Pd 0.5000 0.5000 0.5000

Calculated values
energy of formation from the pure elements: -155 kJ/mol of formula units
density of states at the Fermi level: 2.22 states/eV/f.u.

Below is a relaxed ReMo crystal, with properties calculated at the PBE-GGA level.

a = 2.7192 Å, b = 2.7192 Å, c = 8.9270 Å
α = 90.00°, β = 90.00°, γ = 109.54°
Fractional coordinates of all 4 atoms:
Re 0.2500 0.7500 0.8757
Re 0.7500 0.2500 0.1243
Mo 0.2500 0.7500 0.3734
Mo 0.7500 0.2500 0.6266

Calculated values
energy of formation from the pure elements: 25 kJ/mol of formula units
density of states at the Fermi level: 1.63 states/eV/f.u.
energy relative to the lowest polymorph listed for this composition: 0.07 eV/f.u.

Below is a relaxed TaGe3B crystal, with properties calculated at the PBE-GGA level.

a = 5.0058 Å, b = 5.0058 Å, c = 5.0058 Å
α = 90.00°, β = 90.00°, γ = 90.00°
Fractional coordinates of all 5 atoms:
Ta 0.0000 0.0000 0.0000
Ge 0.0000 0.0000 0.5000
Ge 0.0000 0.5000 0.0000
Ge 0.5000 0.0000 0.0000
B 0.5000 0.5000 0.5000

Calculated values
energy of formation from the pure elements: 641 kJ/mol of formula units
density of states at the Fermi level: 5.00 states/eV/f.u.
energy relative to the lowest polymorph listed for this composition: 1.85 eV/f.u.

Below is a relaxed CaTeSe2O crystal, with properties calculated at the PBE-GGA level.

a = 4.8163 Å, b = 4.8163 Å, c = 4.5594 Å
α = 90.00°, β = 90.00°, γ = 90.00°
Fractional coordinates of all 5 atoms:
Ca 0.0000 0.0000 0.0000
Te 0.5000 0.5000 0.0000
Se 0.0000 0.5000 0.5000
Se 0.5000 0.0000 0.5000
O 0.5000 0.5000 0.5000

Calculated values
raw formation energy: -0.49 eV/atom
density of states at the Fermi level: 2.33 states/eV/f.u.

Below is a relaxed FeCu3P crystal, with properties calculated at the PBE-GGA level.

a = 4.2633 Å, b = 4.2633 Å, c = 4.2633 Å
α = 90.00°, β = 90.00°, γ = 90.00°
Fractional coordinates of all 5 atoms:
Fe 0.0000 0.0000 0.0000
Cu 0.0000 0.5000 0.5000
Cu 0.5000 0.0000 0.5000
Cu 0.5000 0.5000 0.0000
P 0.5000 0.5000 0.5000

Calculated values
energy of formation from the pure elements: 277 kJ/mol of formula units
density of states at the Fermi level: 4.12 states/eV/f.u.
energy relative to the lowest polymorph listed for this composition: 0.00 eV/f.u.

Below is a relaxed NaGaPd2 crystal, with properties calculated at the PBE-GGA level.

a = 5.8549 Å, b = 5.8549 Å, c = 5.8549 Å
α = 103.86°, β = 103.86°, γ = 121.40°
Fractional coordinates of all 8 atoms:
Na 0.0000 0.0000 0.0000
Na 0.7500 0.2500 0.5000
Ga 0.2500 0.7500 0.5000
Ga 0.5000 0.5000 0.0000
Pd 0.1731 0.1250 0.5481
Pd 0.3750 0.8269 0.9519
Pd 0.5769 0.6250 0.4519
Pd 0.8750 0.4231 0.0481

Calculated values
energy of formation from the pure elements: -72 kJ/mol of formula units
density of states at the Fermi level: 0.79 states/eV/f.u.

Below is a relaxed ZnCdIn2 crystal, with properties calculated at the PBE-GGA level.

a = 4.6542 Å, b = 4.6542 Å, c = 4.3144 Å
α = 90.00°, β = 90.00°, γ = 90.00°
Fractional coordinates of all 4 atoms:
Zn 0.0000 0.0000 0.0000
Cd 0.5000 0.5000 0.0000
In 0.0000 0.5000 0.5000
In 0.5000 0.0000 0.5000

Calculated values
energy of formation from the pure elements: 33 kJ/mol of formula units
density of states at the Fermi level: 1.52 states/eV/f.u.
energy relative to the lowest polymorph listed for this composition: 0.12 eV/f.u.

Below is a relaxed TiIn2Rh2 crystal, with properties calculated at the PBE-GGA level.

a = 6.5850 Å, b = 6.5850 Å, c = 4.1738 Å
α = 90.00°, β = 90.00°, γ = 90.00°
Fractional coordinates of all 10 atoms:
Ti 0.0000 0.0000 0.0000
Ti 0.5000 0.5000 0.0000
In 0.1663 0.3337 0.5000
In 0.3337 0.8337 0.5000
In 0.6663 0.1663 0.5000
In 0.8337 0.6663 0.5000
Rh 0.1430 0.6430 0.0000
Rh 0.3570 0.1430 0.0000
Rh 0.6430 0.8570 0.0000
Rh 0.8570 0.3570 0.0000

Calculated values
energy of formation from the pure elements: -193 kJ/mol of formula units
density of states at the Fermi level: 1.68 states/eV/f.u.

Below is a relaxed Mo2AsPt crystal, with properties calculated at the PBE-GGA level.

a = 4.4980 Å, b = 4.4980 Å, c = 4.4980 Å
α = 60.00°, β = 60.00°, γ = 60.00°
Fractional coordinates of all 4 atoms:
Mo 0.0000 0.0000 0.0000
Mo 0.2500 0.2500 0.2500
As 0.5000 0.5000 0.5000
Pt 0.7500 0.7500 0.7500

Calculated values
energy of formation from the pure elements: 120 kJ/mol of formula units
density of states at the Fermi level: 5.13 states/eV/f.u.

Below is a relaxed TaAgS crystal, with properties calculated at the PBE-GGA level.

a = 7.8214 Å, b = 7.8214 Å, c = 7.8214 Å
α = 30.69°, β = 30.69°, γ = 30.69°
Fractional coordinates of all 6 atoms:
Ta 0.2140 0.2140 0.2140
Ta 0.7860 0.7860 0.7860
Ag 0.3637 0.3637 0.3637
Ag 0.6363 0.6363 0.6363
S 0.1051 0.1051 0.1051
S 0.8949 0.8949 0.8949

Calculated values
raw formation energy: -0.14 eV/atom
density of states at the Fermi level: 2.11 states/eV/f.u.

Below is a relaxed Ca2Zn3SbAu12 crystal, with properties calculated at the PBE-GGA level.

a = 10.4363 Å, b = 10.4363 Å, c = 10.4363 Å
α = 38.70°, β = 38.70°, γ = 38.70°
Fractional coordinates of all 18 atoms:
Ca 0.1377 0.1377 0.1377
Ca 0.8623 0.8623 0.8623
Zn 0.0000 0.5000 0.5000
Zn 0.5000 0.0000 0.5000
Zn 0.5000 0.5000 0.0000
Sb 0.5000 0.5000 0.5000
Au 0.0702 0.6282 0.6282
Au 0.0909 0.0909 0.6838
Au 0.0909 0.6838 0.0909
Au 0.3162 0.9091 0.9091
Au 0.3718 0.3718 0.9298
Au 0.3718 0.9298 0.3718
Au 0.6282 0.0702 0.6282
Au 0.6282 0.6282 0.0702
Au 0.6838 0.0909 0.0909
Au 0.9091 0.3162 0.9091
Au 0.9091 0.9091 0.3162
Au 0.9298 0.3718 0.3718

Calculated values
raw formation energy: -0.20 eV/atom
density of states at the Fermi level: 5.46 states/eV/f.u.